Record 1
Here is an optimized crystal structure of Sc2CrRe from the Alexandria database. Energies are from PBEsol.

a b c (Å): 2.7876 4.4224 5.3109
angles (deg): 90.00 99.99 90.00
With the nearest neighbours (Å) after each atom.
Element x y z (fractional)
1 Re 0.0000 0.5000 0.5000  4 Sc 2.73, 2 Cr 2.78, 2 Re 2.79
2 Sc 0.2494 0.0000 0.2500  2 Re 2.73, 2 Cr 2.73, 4 Sc 2.78-2.79
3 Sc 0.7506 0.0000 0.7500  2 Re 2.73, 2 Cr 2.73, 4 Sc 2.78-2.79
4 Cr 0.5000 0.5000 0.0000  4 Sc 2.73, 2 Re 2.78, 2 Cr 2.79

Summary:
DFT formation energy in meV/atom: 292
M_tot in μB/atom: 0.28
Calculated volume in Å³/cell: 64
Space group: P2/m (10)

=====

Record 2
Here is an optimized crystal structure of MgTc2TeP from the Alexandria database. Energies are from PBEsol.

a b c (Å): 4.8369 4.8369 5.0335
angles (deg): 90.00 90.00 90.00
With the nearest neighbours (Å) after each atom.
Element x y z (fractional)
1 P 0.0000 0.0000 0.5000  2 Te 2.52
2 Tc 0.0000 0.5000 0.0000  2 Te 2.42
3 Tc 0.5000 0.0000 0.0000  2 Te 2.42
4 Mg 0.5000 0.5000 0.5000  4 P 3.42, 8 Tc 3.49
5 Te 0.0000 0.0000 0.0000  4 Tc 2.42, 2 P 2.52

Summary:
M_tot in μB/atom: 0.46
Formation energy without anion corrections in eV per atom: 1.61
Calculated volume in Å³/cell: 118
Space group: P4/mmm (123)

=====

Record 3
Here is an optimized crystal structure of BaSrAu from the Alexandria database. Energies are from PBEsol.

a b c (Å): 3.9192 3.9192 7.6584
angles (deg): 104.83 104.83 90.00
With the nearest neighbours (Å) after each atom.
Element x y z (fractional)
1 Au 0.0056 0.0056 0.0112  4 Sr 3.25, 4 Ba 3.38
2 Sr 0.6243 0.6243 0.2486  4 Au 3.25, 1 Ba 3.63
3 Ba 0.3701 0.3701 0.7402  4 Au 3.38, 1 Sr 3.63

Summary:
DFT formation energy in meV/atom: -468
M_tot in μB/atom: 0.00
Calculated volume in Å³/cell: 110
Space group: I4mm (107)